Compound: Zr5Cd4Hg2
Source: the Alexandria database
Functional: GGA-PBE
Structure: relaxed

Values from the calculation:
spin magnetization	0.687	μB per formula unit
space group	Pbam
volume	485	Å³/cell
ΔE_f	-0.0746	eV per atom
Fermi-level density of states	0.972	states/eV/atom
E_tot	-4.3478	eV per atom

```
Zr5Cd4Hg2
1.0
-2.610 0.863 -1.810
4.221 -1.180 -6.650
-5.561 -17.649 -0.399
Cd Hg Zr
8 4 10
Direct
0.500 0.577 0.146
0.500 0.211 0.069
0.500 0.289 0.569
0.500 0.789 0.931
0.500 0.077 0.354
0.500 0.923 0.646
0.500 0.423 0.854
0.500 0.711 0.431
0.500 0.039 0.808
0.500 0.961 0.192
0.500 0.461 0.308
0.500 0.539 0.692
0.000 0.864 0.066
0.000 0.235 0.709
0.000 0.765 0.291
0.000 0.636 0.566
0.000 0.000 0.500
0.000 0.136 0.934
0.000 0.500 0.000
0.000 0.265 0.209
0.000 0.364 0.434
0.000 0.735 0.791
```


Compound: PRh2Se
Source: the Alexandria database
Functional: GGA-PBE
Structure: relaxed

Values from the calculation:
spin magnetization	0.000	μB per formula unit
formation energy without anion corrections	-0.301	eV/atom
space group	I-42d
volume	156	Å³/cell
Fermi-level density of states	0.818	states/eV/atom
E_tot	-6.2007	eV per atom

```
PRh2Se
1.0
5.119 0.000 0.000
0.000 5.119 0.000
2.559 2.559 5.935
Rh Se P
4 2 2
Direct
0.165 0.625 0.250
0.375 0.415 0.750
0.585 0.125 0.250
0.875 0.835 0.750
0.000 0.000 0.000
0.750 0.250 0.500
0.250 0.750 0.500
0.500 0.500 0.000
```


Compound: SiMoPb3
Source: the Alexandria database
Functional: GGA-PBE
Structure: relaxed

Values from the calculation:
spin magnetization	4.157	μB per formula unit
formation energy without anion corrections	1.236	eV/atom
polymorph energy (0 for the lowest one)	296	meV per atom
space group	Pm-3m
volume	152	Å³/cell
Fermi-level density of states	0.600	states/eV/atom
E_tot	-4.2398	eV per atom

```
SiMoPb3
1.0
5.340 0.000 0.000
0.000 5.340 0.000
0.000 0.000 5.340
Si Pb Mo
1 3 1
Direct
0.000 0.000 0.000
0.000 0.500 0.000
0.000 0.000 0.500
0.500 0.000 0.000
0.500 0.500 0.500
```


Compound: Sr2RhW
Source: the Alexandria database
Functional: GGA-PBE
Structure: relaxed

Values from the calculation:
spin magnetization	1.301	μB per formula unit
polymorph energy (0 for the lowest one)	680	meV per atom
space group	C2/m
volume	94	Å³/cell
ΔE_f	1.0719	eV per atom
Fermi-level density of states	0.698	states/eV/atom
E_tot	-4.8451	eV per atom

```
Sr2RhW
1.0
-4.862 -0.366 -2.031
-5.105 -0.881 1.030
-1.618 5.751 0.839
Sr Rh W
2 1 1
Direct
0.990 0.990 0.010
0.510 0.510 0.490
0.250 0.250 0.250
0.750 0.750 0.750
```


Compound: TaCrTc
Source: the Alexandria database
Functional: GGA-PBE
Structure: relaxed

Values from the calculation:
spin magnetization	0.000	μB per formula unit
polymorph energy (0 for the lowest one)	677	meV per atom
space group	F-43m
volume	51	Å³/cell
ΔE_f	0.5479	eV per atom
Fermi-level density of states	1.553	states/eV/atom
E_tot	-10.0661	eV per atom

```
TaCrTc
1.0
-3.140 -2.598 -0.784
0.409 -2.932 -2.909
0.284 -3.991 1.102
Ta Tc Cr
1 1 1
Direct
0.000 0.000 0.000
0.500 0.500 0.500
0.750 0.750 0.750
```


Compound: La5Pt2
Source: the Alexandria database
Functional: GGA-PBE
Structure: relaxed

Values from the calculation:
spin magnetization	0.000	μB per formula unit
space group	C2/c
volume	440	Å³/cell
ΔE_f	-0.7346	eV per atom
Fermi-level density of states	1.273	states/eV/atom
E_tot	-5.9802	eV per atom

```
La5Pt2
1.0
-1.471 -5.005 -4.399
0.575 -4.951 5.442
-7.852 4.169 3.175
La Pt
10 4
Direct
0.426 0.750 0.000
0.354 0.183 0.564
0.197 0.428 0.186
0.990 0.928 0.186
0.010 0.072 0.814
0.574 0.250 0.000
0.211 0.683 0.564
0.646 0.817 0.436
0.803 0.572 0.814
0.789 0.317 0.436
0.195 0.419 0.778
0.583 0.919 0.778
0.805 0.581 0.222
0.417 0.081 0.222
```


Compound: SrCaOsS2
Source: the Alexandria database
Functional: GGA-PBE
Structure: relaxed

Values from the calculation:
spin magnetization	3.819	μB per formula unit
formation energy without anion corrections	0.327	eV/atom
space group	P4/mmm
volume	148	Å³/cell
Fermi-level density of states	1.238	states/eV/atom
E_tot	-4.3063	eV per atom

```
SrCaOsS2
1.0
5.238 0.000 0.000
0.000 5.238 0.000
0.000 0.000 5.410
Ca S Sr Os
1 2 1 1
Direct
0.000 0.000 0.000
0.500 0.000 0.000
0.000 0.500 0.000
0.500 0.500 0.500
0.000 0.000 0.500
```


Compound: NdTm3In2
Source: the Alexandria database
Functional: GGA-PBE
Structure: relaxed

Values from the calculation:
spin magnetization	0.403	μB per formula unit
polymorph energy (0 for the lowest one)	34	meV per atom
space group	C2/m
volume	346	Å³/cell
ΔE_f	-0.2445	eV per atom
Fermi-level density of states	1.008	states/eV/atom
E_tot	-4.1877	eV per atom

```
NdTm3In2
1.0
-0.528 -5.245 0.914
5.375 0.903 -7.373
2.774 1.230 8.659
Nd Tm In
2 6 4
Direct
0.132 0.264 0.095
0.868 0.736 0.905
0.940 0.880 0.594
0.060 0.120 0.406
0.693 0.386 0.397
0.385 0.770 0.313
0.615 0.230 0.687
0.307 0.614 0.603
0.226 0.452 0.857
0.481 0.961 0.131
0.519 0.039 0.869
0.774 0.548 0.143
```


Compound: CdHgSe2
Source: the Alexandria database
Functional: GGA-PBE
Structure: relaxed

Values from the calculation:
spin magnetization	0.000	μB per formula unit
formation energy without anion corrections	-0.297	eV/atom
polymorph energy (0 for the lowest one)	120	meV per atom
space group	R-3m
volume	127	Å³/cell
Fermi-level density of states	0.068	states/eV/atom
E_tot	-2.3438	eV per atom

```
CdHgSe2
1.0
-1.895 -7.396 2.527
2.478 -7.315 2.241
0.479 -5.605 5.747
Se Hg Cd
2 1 1
Direct
0.109 0.109 0.109
0.891 0.891 0.891
0.000 0.000 0.000
0.500 0.500 0.500
```


Compound: Sr2PuGe3Ir4
Source: the Alexandria database
Functional: GGA-PBE
Structure: relaxed

Values from the calculation:
spin magnetization	5.039	μB per formula unit
space group	P-4m2
volume	205	Å³/cell
ΔE_f	-0.5669	eV per atom
Fermi-level density of states	0.870	states/eV/atom
E_tot	-7.2660	eV per atom

```
Sr2PuGe3Ir4
1.0
4.305 0.000 0.000
0.000 4.305 0.000
0.000 0.000 11.066
Ge Ir Sr Pu
3 4 2 1
Direct
0.000 0.500 0.119
0.000 0.000 0.500
0.500 0.000 0.881
0.000 0.500 0.351
0.500 0.500 0.000
0.000 0.000 0.000
0.500 0.000 0.649
0.500 0.000 0.234
0.000 0.500 0.766
0.500 0.500 0.500
```


Compound: KTlHg3
Source: the Alexandria database
Functional: GGA-PBE
Structure: relaxed

Values from the calculation:
spin magnetization	0.000	μB per formula unit
polymorph energy (0 for the lowest one)	435	meV per atom
space group	Pm-3m
volume	236	Å³/cell
ΔE_f	0.2753	eV per atom
Fermi-level density of states	1.399	states/eV/atom
E_tot	-0.5985	eV per atom

```
KTlHg3
1.0
-0.243 5.496 2.817
-0.294 -2.826 5.489
6.169 0.082 0.373
K Hg Tl
1 3 1
Direct
0.000 0.000 0.000
0.000 0.000 0.500
0.500 0.000 0.000
0.000 0.500 0.000
0.500 0.500 0.500
```


Compound: Ce9Nd4Tl11
Source: the Alexandria database
Functional: GGA-PBE
Structure: relaxed

Values from the calculation:
spin magnetization	11.867	μB per formula unit
space group	Cmmm
volume	699	Å³/cell
ΔE_f	-0.2113	eV per atom
Fermi-level density of states	2.603	states/eV/atom
E_tot	-4.3156	eV per atom

```
Ce9Nd4Tl11
1.0
-3.375 0.111 0.518
1.540 -8.115 11.770
1.372 12.910 6.181
Tl Nd Ce
11 4 9
Direct
0.000 0.068 0.418
0.000 0.168 0.832
0.000 0.358 0.642
0.000 0.000 0.000
0.000 0.238 0.238
0.000 0.932 0.582
0.000 0.642 0.358
0.000 0.832 0.168
0.000 0.762 0.762
0.000 0.418 0.068
0.000 0.582 0.932
0.500 0.558 0.730
0.500 0.270 0.442
0.500 0.730 0.558
0.500 0.442 0.270
0.500 0.209 0.035
0.500 0.500 0.500
0.500 0.140 0.627
0.500 0.373 0.860
0.500 0.627 0.140
0.500 0.860 0.373
0.500 0.791 0.965
0.500 0.965 0.791
0.500 0.035 0.209
```


Compound: Pm3Sn3Pd
Source: the Alexandria database
Functional: GGA-PBE
Structure: relaxed

Values from the calculation:
spin magnetization	0.000	μB per formula unit
polymorph energy (0 for the lowest one)	168	meV per atom
space group	C2/m
volume	383	Å³/cell
ΔE_f	-0.6619	eV per atom
Fermi-level density of states	0.693	states/eV/atom
E_tot	-5.1553	eV per atom

```
Pm3Sn3Pd
1.0
6.760 0.809 0.082
-2.287 6.412 0.082
-0.555 -0.896 8.461
Sn Pd Pm
6 2 6
Direct
0.869 0.558 0.719
0.246 0.246 0.976
0.558 0.869 0.719
0.131 0.442 0.281
0.442 0.131 0.281
0.754 0.754 0.024
0.024 0.024 0.221
0.976 0.976 0.779
0.360 0.360 0.644
0.640 0.640 0.356
0.252 0.748 0.000
0.748 0.252 0.000
0.174 0.826 0.500
0.826 0.174 0.500
```


Compound: ZrAlAg
Source: the Alexandria database
Functional: GGA-PBE
Structure: relaxed

Values from the calculation:
spin magnetization	0.000	μB per formula unit
space group	Cmcm
volume	229	Å³/cell
ΔE_f	-0.1684	eV per atom
Fermi-level density of states	0.274	states/eV/atom
E_tot	-5.2157	eV per atom

```
ZrAlAg
1.0
8.173 0.000 0.000
0.000 5.899 0.000
0.000 0.000 4.741
Al Ag Zr
4 4 4
Direct
0.000 0.500 0.000
0.000 0.000 0.000
0.500 0.000 0.500
0.500 0.500 0.500
0.669 0.250 0.000
0.331 0.750 0.000
0.169 0.250 0.500
0.831 0.750 0.500
0.165 0.750 0.500
0.335 0.250 0.000
0.665 0.750 0.000
0.835 0.250 0.500
```


Compound: Pu3CoSb
Source: the Alexandria database
Functional: GGA-PBE
Structure: relaxed

Values from the calculation:
spin magnetization	16.494	μB per formula unit
formation energy without anion corrections	-0.163	eV/atom
space group	Pm-3m
volume	129	Å³/cell
Fermi-level density of states	5.096	states/eV/atom
E_tot	-11.0077	eV per atom

```
Pu3CoSb
1.0
-3.473 0.495 -3.639
-3.669 -0.226 3.470
0.178 5.025 0.515
Pu Co Sb
3 1 1
Direct
0.500 0.000 0.000
0.000 0.500 0.000
0.000 0.000 0.500
0.000 0.000 0.000
0.500 0.500 0.500
```


Compound: Sc2TcAs
Source: the Alexandria database
Functional: GGA-PBE
Structure: relaxed

Values from the calculation:
spin magnetization	0.000	μB per formula unit
space group	R-3m
volume	83	Å³/cell
ΔE_f	-0.0314	eV per atom
Fermi-level density of states	0.409	states/eV/atom
E_tot	-6.9510	eV per atom

```
Sc2TcAs
1.0
1.848 0.000 9.354
-0.924 1.601 9.354
-0.924 -1.601 9.354
Sc Tc As
2 1 1
Direct
0.097 0.097 0.097
0.903 0.903 0.903
0.500 0.500 0.500
0.000 0.000 0.000
```


Compound: Pm2AlIr
Source: the Alexandria database
Functional: GGA-PBE
Structure: relaxed

Values from the calculation:
spin magnetization	0.000	μB per formula unit
polymorph energy (0 for the lowest one)	105	meV per atom
space group	P4/mmm
volume	94	Å³/cell
ΔE_f	-0.4937	eV per atom
Fermi-level density of states	0.516	states/eV/atom
E_tot	-6.0199	eV per atom

```
Pm2AlIr
1.0
-2.794 -1.743 1.590
0.881 -3.057 -1.803
4.213 -1.915 5.306
Al Ir Pm
1 1 2
Direct
0.500 0.500 0.500
0.500 0.500 0.000
0.000 0.000 0.768
0.000 0.000 0.232
```


Compound: ReTe2Mo
Source: the Alexandria database
Functional: GGA-PBE
Structure: relaxed

Values from the calculation:
spin magnetization	0.000	μB per formula unit
formation energy without anion corrections	0.315	eV/atom
polymorph energy (0 for the lowest one)	110	meV per atom
space group	Cm
volume	105	Å³/cell
Fermi-level density of states	0.563	states/eV/atom
E_tot	-7.0753	eV per atom

```
ReTe2Mo
1.0
-0.803 2.216 -3.927
1.176 -0.831 -4.348
-5.639 -3.311 -2.541
Te Re Mo
2 1 1
Direct
0.759 0.759 0.636
0.991 0.991 0.112
0.231 0.231 0.334
0.520 0.520 0.417
```


Compound: ErTm3Zr
Source: the Alexandria database
Functional: GGA-PBE
Structure: relaxed

Values from the calculation:
spin magnetization	0.001	μB per formula unit
polymorph energy (0 for the lowest one)	125	meV per atom
space group	C2/m
volume	294	Å³/cell
ΔE_f	0.1815	eV per atom
Fermi-level density of states	1.584	states/eV/atom
E_tot	-5.1236	eV per atom

```
ErTm3Zr
1.0
-0.348 -6.635 0.095
3.914 3.882 3.710
-4.166 -0.983 7.773
Tm Er Zr
6 2 2
Direct
0.032 0.762 0.707
0.762 0.032 0.707
0.695 0.695 0.111
0.305 0.305 0.889
0.238 0.968 0.293
0.968 0.238 0.293
0.632 0.368 0.500
0.368 0.632 0.500
0.250 0.750 0.000
0.750 0.250 0.000
```